No. 1
Computed, not measured: an optimized crystal structure of NaNpBiSb at the PBE level of DFT.

total magnetic moment	4.2	μB per formula unit
Fermi-level density of states	4.286	states/eV/atom
formation energy (no corrections)	-3.5	kJ/mol of atoms
total DFT energy (no corrections)	-5.602	eV/atom

Cell lengths 5.409, 5.409, 5.409 Å; angles 60.00, 60.00, 60.00 degrees
Positions (direct):
Np (0.000, 0.000, 0.000)
Sb (0.750, 0.750, 0.750)
Bi (0.250, 0.250, 0.250)
Na (0.500, 0.500, 0.500)

No. 2
Computed, not measured: an optimized crystal structure of CeScCd2 at the PBE level of DFT.

total magnetic moment	1.6	μB per formula unit
Fermi-level density of states	2.545	states/eV/atom
offset from the most stable computed form	0.039	eV per atom
total DFT energy (no corrections)	-3.703	eV/atom

Cell lengths 5.233, 5.233, 5.233 Å; angles 60.00, 60.00, 60.00 degrees
Positions (direct):
Sc (0.500, 0.500, 0.500)
Ce (0.000, 0.000, 0.000)
Cd (0.250, 0.250, 0.250)
Cd (0.750, 0.750, 0.750)

No. 3
Computed, not measured: an optimized crystal structure of TbPm2Cu6 at the PBE level of DFT.

total magnetic moment	0.0	μB per formula unit
Fermi-level density of states	0.657	states/eV/atom
offset from the most stable computed form	0.149	eV per atom
total DFT energy (no corrections)	-4.389	eV/atom

Cell lengths 3.612, 7.912, 7.912 Å; angles 54.55, 76.81, 76.81 degrees
Positions (direct):
Tb (0.500, 0.500, 0.500)
Pm (0.356, 0.144, 0.144)
Pm (0.644, 0.856, 0.856)
Cu (0.165, 0.508, 0.162)
Cu (0.835, 0.492, 0.838)
Cu (0.835, 0.838, 0.492)
Cu (0.000, 0.179, 0.821)
Cu (0.000, 0.821, 0.179)
Cu (0.165, 0.162, 0.508)

No. 4
Computed, not measured: an optimized crystal structure of Sc4MoP at the PBE level of DFT.

total magnetic moment	0.0	μB per formula unit
Fermi-level density of states	1.145	states/eV/atom
total DFT energy (no corrections)	-6.385	eV/atom

Cell lengths 5.542, 5.542, 5.542 Å; angles 60.00, 60.00, 60.00 degrees
Positions (direct):
Sc (0.869, 0.377, 0.377)
Sc (0.377, 0.377, 0.869)
Sc (0.377, 0.869, 0.377)
Sc (0.377, 0.377, 0.377)
Mo (0.750, 0.750, 0.750)
P (0.000, 0.000, 0.000)